First-principles (PBE) data for a geometry-optimized CaLuCuNi structure, as listed in Alexandria via LeMat-Bulk.

The space group is F-43m (No. 216) and the conventional cell measures 6.798, 6.798 and 6.798 Å, with angles of 90.00, 90.00 and 90.00 degrees. Symmetry generates all atoms from Ca at (0.000, 0.000, 0.000), Lu at (0.000, 0.000, 0.500), Cu at (0.250, 0.250, 0.750) and Ni at (0.250, 0.250, 0.250).

For the formation energy, the calculation gives -0.17 eV/atom. Its energy is -4.27 eV/atom. The density of states at the Fermi level comes out at 7.34 states/eV per cell.